[1]
A plane-wave DFT calculation with PBE-GGA was carried out for Sc3AlN after structural relaxation.

Space group ... I-4m2 (119)
Raw formation energy ... 0.67 eV/atom
Electronic total energy ... -5.5448 eV per atom

The structure in CIF format:
```
data_Sc3AlN
_chemical_formula_sum 'Sc6 Al2 N2'
_cell_length_a 4.7243
_cell_length_b 4.7243
_cell_length_c 11.2662
_cell_angle_alpha 77.90
_cell_angle_beta 77.90
_cell_angle_gamma 90.00
_symmetry_space_group_name_H-M 'P 1'
_symmetry_Int_Tables_number 1
_symmetry_space_group_name_Hall 'P 1'
loop_
_atom_site_label
_atom_site_fract_x
_atom_site_fract_y
_atom_site_fract_z
_atom_site_occupancy
Sc1 0.1291 0.8993 0.7417 1
Sc2 0.6410 0.8709 0.2583 1
Al1 0.2500 0.7500 0.5000 1
Al2 0.0000 0.0000 0.0000 1
Sc3 0.1291 0.3590 0.7417 1
N1 0.6483 0.1483 0.7034 1
N2 0.8517 0.3517 0.2966 1
Sc4 0.6899 0.6899 0.6202 1
Sc5 0.3101 0.3101 0.3798 1
Sc6 0.1007 0.8709 0.2583 1
```

[2]
A plane-wave DFT calculation with PBE-GGA was carried out for Tc3NiHg after structural relaxation.

Formation energy from the elements ... 1435 meV per atom
Space group ... Pm-3m (221)
E above lowest polymorph ... 0 meV per atom
Electronic total energy ... -6.0008 eV per atom

The structure in CIF format:
```
data_Tc3NiHg
_chemical_formula_sum 'Tc3 Ni1 Hg1'
_cell_length_a 4.4709
_cell_length_b 4.4709
_cell_length_c 4.4709
_cell_angle_alpha 90.00
_cell_angle_beta 90.00
_cell_angle_gamma 90.00
_symmetry_space_group_name_H-M 'P 1'
_symmetry_Int_Tables_number 1
_symmetry_space_group_name_Hall 'P 1'
loop_
_atom_site_label
_atom_site_fract_x
_atom_site_fract_y
_atom_site_fract_z
_atom_site_occupancy
Tc1 0.5000 0.0000 0.0000 1
Hg1 0.5000 0.5000 0.5000 1
Tc2 0.0000 0.0000 0.5000 1
Tc3 0.0000 0.5000 0.0000 1
Ni1 0.0000 0.0000 0.0000 1
```

[3]
A plane-wave DFT calculation with PBE-GGA was carried out for Zr5Co2Pd2 after structural relaxation.

Formation energy from the elements ... -396 meV per atom
Space group ... Cmce (64)
Electronic total energy ... -7.8779 eV per atom

The structure in CIF format:
```
data_Zr5Co2Pd2
_chemical_formula_sum 'Zr10 Co4 Pd4'
_cell_length_a 6.6053
_cell_length_b 6.6780
_cell_length_c 8.3219
_cell_angle_alpha 90.00
_cell_angle_beta 66.62
_cell_angle_gamma 90.00
_symmetry_space_group_name_H-M 'P 1'
_symmetry_Int_Tables_number 1
_symmetry_space_group_name_Hall 'P 1'
loop_
_atom_site_label
_atom_site_fract_x
_atom_site_fract_y
_atom_site_fract_z
_atom_site_occupancy
Zr1 0.8095 0.8193 0.7396 1
Zr2 0.0491 0.6807 0.2604 1
Zr3 0.4509 0.1807 0.7396 1
Co1 0.8708 0.6307 0.0000 1
Pd1 0.2804 0.5000 0.4392 1
Co2 0.3708 0.8693 0.0000 1
Zr4 0.5491 0.8193 0.2604 1
Zr5 0.0000 0.0000 0.0000 1
Co3 0.6292 0.1307 0.0000 1
Zr6 0.1905 0.1807 0.2604 1
Pd2 0.2196 0.0000 0.5608 1
Zr7 0.3095 0.6807 0.7396 1
Pd3 0.7196 0.5000 0.5608 1
Zr8 0.6905 0.3193 0.2604 1
Co4 0.1292 0.3693 0.0000 1
Zr9 0.5000 0.5000 0.0000 1
Pd4 0.7804 0.0000 0.4392 1
Zr10 0.9509 0.3193 0.7396 1
```

[4]
A plane-wave DFT calculation with PBE-GGA was carried out for Ta4CuCl after structural relaxation.

Space group ... F-43m (216)
Raw formation energy ... 0.94 eV/atom
Electronic total energy ... -7.9505 eV per atom

The structure in CIF format:
```
data_Ta4CuCl
_chemical_formula_sum 'Ta4 Cu1 Cl1'
_cell_length_a 5.4974
_cell_length_b 5.4974
_cell_length_c 5.4974
_cell_angle_alpha 60.00
_cell_angle_beta 60.00
_cell_angle_gamma 60.00
_symmetry_space_group_name_H-M 'P 1'
_symmetry_Int_Tables_number 1
_symmetry_space_group_name_Hall 'P 1'
loop_
_atom_site_label
_atom_site_fract_x
_atom_site_fract_y
_atom_site_fract_z
_atom_site_occupancy
Ta1 0.3726 0.3726 0.8821 1
Ta2 0.8821 0.3726 0.3726 1
Ta3 0.3726 0.8821 0.3726 1
Ta4 0.3726 0.3726 0.3726 1
Cu1 0.0000 0.0000 0.0000 1
Cl1 0.7500 0.7500 0.7500 1
```

[5]
A plane-wave DFT calculation with PBE-GGA was carried out for InFe2Hg after structural relaxation.

Formation energy from the elements ... 656 meV per atom
Space group ... I-42d (122)
E above lowest polymorph ... 405 meV per atom
Electronic total energy ... -4.3359 eV per atom

The structure in CIF format:
```
data_InFe2Hg
_chemical_formula_sum 'In2 Fe4 Hg2'
_cell_length_a 7.2783
_cell_length_b 7.2783
_cell_length_c 5.8511
_cell_angle_alpha 51.54
_cell_angle_beta 51.54
_cell_angle_gamma 90.00
_symmetry_space_group_name_H-M 'P 1'
_symmetry_Int_Tables_number 1
_symmetry_space_group_name_Hall 'P 1'
loop_
_atom_site_label
_atom_site_fract_x
_atom_site_fract_y
_atom_site_fract_z
_atom_site_occupancy
Fe1 0.1248 0.6250 0.2500 1
Fe2 0.6252 0.1250 0.2500 1
In1 0.5000 0.5000 0.0000 1
Hg1 0.7500 0.2500 0.5000 1
Fe3 0.3750 0.3748 0.7500 1
In2 0.2500 0.7500 0.5000 1
Fe4 0.8750 0.8752 0.7500 1
Hg2 0.0000 0.0000 0.0000 1
```

[6]
A plane-wave DFT calculation with PBE-GGA was carried out for AlTeW2 after structural relaxation.

Space group ... C2/m (12)
Raw formation energy ... 0.49 eV/atom
E above lowest polymorph ... 200 meV per atom
Electronic total energy ... -7.7052 eV per atom

The structure in CIF format:
```
data_AlTeW2
_chemical_formula_sum 'Al1 Te1 W2'
_cell_length_a 4.8417
_cell_length_b 4.8417
_cell_length_c 4.9168
_cell_angle_alpha 83.17
_cell_angle_beta 83.17
_cell_angle_gamma 40.36
_symmetry_space_group_name_H-M 'P 1'
_symmetry_Int_Tables_number 1
_symmetry_space_group_name_Hall 'P 1'
loop_
_atom_site_label
_atom_site_fract_x
_atom_site_fract_y
_atom_site_fract_z
_atom_site_occupancy
W1 0.0009 0.0009 0.9472 1
Al1 0.7500 0.7500 0.7500 1
W2 0.4991 0.4991 0.5528 1
Te1 0.2500 0.2500 0.2500 1
```

[7]
A plane-wave DFT calculation with PBE-GGA was carried out for Tb8GaRh2 after structural relaxation.

Formation energy from the elements ... -352 meV per atom
Space group ... Cm (8)
Electronic total energy ... -5.3310 eV per atom

The structure in CIF format:
```
data_Tb8GaRh2
_chemical_formula_sum 'Tb8 Ga1 Rh2'
_cell_length_a 5.5628
_cell_length_b 7.8641
_cell_length_c 7.8641
_cell_angle_alpha 114.14
_cell_angle_beta 98.43
_cell_angle_gamma 98.43
_symmetry_space_group_name_H-M 'P 1'
_symmetry_Int_Tables_number 1
_symmetry_space_group_name_Hall 'P 1'
loop_
_atom_site_label
_atom_site_fract_x
_atom_site_fract_y
_atom_site_fract_z
_atom_site_occupancy
Tb1 0.9963 0.7648 0.2361 1
Rh1 0.4971 0.7003 0.3064 1
Tb2 0.9963 0.2361 0.7648 1
Tb3 0.5741 0.3354 0.0806 1
Ga1 0.0544 0.0015 0.0015 1
Tb4 0.5741 0.0806 0.3354 1
Rh2 0.4971 0.3064 0.7003 1
Tb5 0.8076 0.6263 0.6263 1
Tb6 0.4070 0.6709 0.9263 1
Tb7 0.1887 0.3854 0.3854 1
Tb8 0.4070 0.9263 0.6709 1
```

[8]
A plane-wave DFT calculation with PBE-GGA was carried out for TlFeTeW after structural relaxation.

Space group ... Pmm2 (25)
Raw formation energy ... 0.62 eV/atom
E above lowest polymorph ... 225 meV per atom
Electronic total energy ... -6.1110 eV per atom

The structure in CIF format:
```
data_TlFeTeW
_chemical_formula_sum 'Tl1 Fe1 Te1 W1'
_cell_length_a 3.8488
_cell_length_b 5.5820
_cell_length_c 4.7503
_cell_angle_alpha 90.00
_cell_angle_beta 89.98
_cell_angle_gamma 90.00
_symmetry_space_group_name_H-M 'P 1'
_symmetry_Int_Tables_number 1
_symmetry_space_group_name_Hall 'P 1'
loop_
_atom_site_label
_atom_site_fract_x
_atom_site_fract_y
_atom_site_fract_z
_atom_site_occupancy
W1 0.5000 0.3038 0.5000 1
Te1 0.5000 0.8296 0.5000 1
Fe1 0.0000 0.5331 0.5000 1
Tl1 0.0000 0.3281 0.0000 1
```